Record 1
# Rb2MnBr4 GGA-PBEsol optimized geometry
data_Rb2MnBr4
_chemical_formula_sum 'Rb2 Mn1 Br4'
_cell_length_a 5.2739
_cell_length_b 5.2739
_cell_length_c 9.1665
_cell_angle_alpha 106.72
_cell_angle_beta 106.72
_cell_angle_gamma 90.00
_symmetry_space_group_name_H-M 'P 1'
_symmetry_Int_Tables_number 1
_symmetry_space_group_name_Hall 'P 1'
loop_
_atom_site_label
_atom_site_type_symbol
_atom_site_fract_x
_atom_site_fract_y
_atom_site_fract_z
Br1 Br 0.8425 0.8425 0.6851
Rb1 Rb 0.3600 0.3600 0.7199
Br2 Br 0.1575 0.1575 0.3149
Rb2 Rb 0.6400 0.6400 0.2801
Br3 Br 0.5000 0.0000 0.0000
Br4 Br 0.0000 0.5000 0.0000
Mn1 Mn 0.0000 0.0000 0.0000
# - E_form (uncorrected) (eV/atom) = -1.29
# - VASP energy (eV/cell) = -28.32



Record 2
# RbMnBr3 GGA-PBEsol optimized geometry
data_RbMnBr3
_chemical_formula_sum 'Rb2 Mn2 Br6'
_cell_length_a 6.3677
_cell_length_b 7.3970
_cell_length_c 7.3970
_cell_angle_alpha 120.00
_cell_angle_beta 90.00
_cell_angle_gamma 90.00
_symmetry_space_group_name_H-M 'P 1'
_symmetry_Int_Tables_number 1
_symmetry_space_group_name_Hall 'P 1'
loop_
_atom_site_label
_atom_site_type_symbol
_atom_site_fract_x
_atom_site_fract_y
_atom_site_fract_z
Br1 Br 0.7500 0.8349 0.1651
Rb1 Rb 0.2500 0.6667 0.3333
Br2 Br 0.2500 0.1651 0.8349
Br3 Br 0.2500 0.1651 0.3302
Mn1 Mn 0.5000 0.0000 0.0000
Rb2 Rb 0.7500 0.3333 0.6667
Mn2 Mn 0.0000 0.0000 0.0000
Br4 Br 0.7500 0.3302 0.1651
Br5 Br 0.7500 0.8349 0.6698
Br6 Br 0.2500 0.6698 0.8349
# - E_form (uncorrected) (eV/atom) = -1.12
# - VASP energy (eV/cell) = -44.02



Record 3
# Rb3MnBr5 GGA-PBEsol optimized geometry
data_Rb3MnBr5
_chemical_formula_sum 'Rb6 Mn2 Br10'
_cell_length_a 9.1248
_cell_length_b 9.8664
_cell_length_c 9.1248
_cell_angle_alpha 62.46
_cell_angle_beta 90.00
_cell_angle_gamma 117.54
_symmetry_space_group_name_H-M 'P 1'
_symmetry_Int_Tables_number 1
_symmetry_space_group_name_Hall 'P 1'
loop_
_atom_site_label
_atom_site_type_symbol
_atom_site_fract_x
_atom_site_fract_y
_atom_site_fract_z
Rb1 Rb 0.7500 0.5000 0.2500
Br1 Br 0.0000 0.0000 0.0000
Br2 Br 0.2001 0.7003 0.9997
Rb2 Rb 0.8428 0.0000 0.3428
Rb3 Rb 0.2500 0.5000 0.7500
Br3 Br 0.9997 0.2997 0.5003
Br4 Br 0.7999 0.2997 0.0003
Mn1 Mn 0.7500 0.5000 0.7500
Br5 Br 0.5003 0.7003 0.2999
Mn2 Mn 0.2500 0.5000 0.2500
Br6 Br 0.2999 0.2997 0.2001
Rb4 Rb 0.6572 0.0000 0.8428
Rb5 Rb 0.3428 0.0000 0.1572
Br7 Br 0.4997 0.2997 0.7001
Br8 Br 0.7001 0.7003 0.7999
Br9 Br 0.0003 0.7003 0.4997
Br10 Br 0.5000 0.0000 0.5000
Rb6 Rb 0.1572 0.0000 0.6572
# - E_form (uncorrected) (eV/atom) = -1.39
# - DOS(E_F) (states/eV/atom) = 0.00
# - VASP energy (eV/cell) = -69.43



Question: Look up the VASP energy of the third one.
Answer: -69.43 eV/cell